Entry 1:
Compound: BeRuRh2
Source: the Alexandria database
Functional: PBE-GGA
Structure: optimized geometry

E: -6.8670 eV per atom
M_tot: 0.0 μB/f.u.

a b c (Å): 2.741 4.582 8.296
angles (deg): 90.00 90.00 90.00
Space group Cmmm (No. 65)
One atom of each set of equivalent atoms:
Be  0.000  0.000  0.000 [2 per cell]
Ru  0.000  0.000  0.500 [2 per cell]
Rh  0.000  0.500  0.219 [4 per cell]

***

Entry 2:
Compound: BeRuRh
Source: the Alexandria database
Functional: PBE-GGA
Structure: optimized geometry

Relative energy among the computed polymorphs: 0.000 eV/atom
E: -7.0515 eV per atom
M_tot: 0.0 μB/f.u.

a b c (Å): 2.779 12.589 4.128
angles (deg): 90.00 90.00 90.00
Space group Cmcm (No. 63)
One atom of each set of equivalent atoms:
Be  0.000  0.065  0.250 [4 per cell]
Ru  0.000  0.278  0.750 [4 per cell]
Rh  0.000  0.415  0.250 [4 per cell]

***

Entry 3:
Compound: BeRuRh2
Source: the Alexandria database
Functional: PBE-GGA
Structure: optimized geometry

E: -7.0105 eV per atom
M_tot: 0.0 μB/f.u.

a b c (Å): 2.704 3.874 5.048
angles (deg): 90.00 103.09 90.00
Space group P2/m (No. 10)
One atom of each set of equivalent atoms:
Be  0.000  0.000  0.000 [1 per cell]
Ru  0.000  0.000  0.500 [1 per cell]
Rh  0.379  0.500  0.235 [2 per cell]

***

Entry 4:
Compound: BeRuRh2
Source: the Alexandria database
Functional: PBE-GGA
Structure: optimized geometry

E: -6.5339 eV per atom
M_tot: 0.0 μB/f.u.

a b c (Å): 3.652 3.652 16.956
angles (deg): 90.00 90.00 90.00
Space group I-42d (No. 122)
One atom of each set of equivalent atoms:
Be  0.000  0.000  0.000 [4 per cell]
Ru  0.000  0.000  0.500 [4 per cell]
Rh  0.237  0.250  0.125 [8 per cell]

***

Entry 5:
Compound: BeRuRh2
Source: the Alexandria database
Functional: PBE-GGA
Structure: optimized geometry

E: -6.8572 eV per atom
M_tot: 1.1 μB/f.u.

a b c (Å): 4.377 4.377 2.771
angles (deg): 90.00 90.00 90.00
Space group P4/mmm (No. 123)
One atom of each set of equivalent atoms:
Be  0.000  0.000  0.000 [1 per cell]
Ru  0.500  0.500  0.000 [1 per cell]
Rh  0.000  0.500  0.500 [2 per cell]

***

Entry 6:
Compound: BeRuRh2
Source: the Alexandria database
Functional: PBE-GGA
Structure: optimized geometry

E: -6.8077 eV per atom
M_tot: 0.0 μB/f.u.

a b c (Å): 5.945 5.945 5.945
angles (deg): 90.00 90.00 90.00
Space group F-43m (No. 216)
One atom of each set of equivalent atoms:
Be  0.000  0.000  0.000 [4 per cell]
Ru  0.250  0.250  0.750 [4 per cell]
Rh  0.000  0.000  0.500 [4 per cell]
Rh  0.250  0.250  0.250 [4 per cell]

***

Entry 7:
Compound: BeRuRh
Source: the Alexandria database
Functional: PBE-GGA
Structure: optimized geometry

Relative energy among the computed polymorphs: 0.230 eV/atom
E: -6.8215 eV per atom
M_tot: 0.0 μB/f.u.

a b c (Å): 4.0060 4.0060 2.6863
angles (deg): 90.00 90.00 120.00
Space group P3m1 (No. 156)
One atom of each set of equivalent atoms:
Be  0.0000  0.0000  0.0000 [1 per cell]
Ru  0.3333  0.6667  0.4975 [1 per cell]
Rh  0.6667  0.3333  0.9970 [1 per cell]

***

Entry 8:
Compound: BeRuRh3
Source: the Alexandria database
Functional: PBE-GGA
Structure: optimized geometry

Relative energy among the computed polymorphs: 0.000 eV/atom
E: -6.6086 eV per atom
M_tot: 0.0 μB/f.u.

a b c (Å): 4.082 4.082 4.082
angles (deg): 90.00 90.00 90.00
Space group Pm-3m (No. 221)
One atom of each set of equivalent atoms:
Be  0.000  0.000  0.000 [1 per cell]
Ru  0.500  0.500  0.500 [1 per cell]
Rh  0.000  0.000  0.500 [3 per cell]

***

Entry 9:
Compound: BeRuRh2
Source: the Alexandria database
Functional: PBE-GGA
Structure: optimized geometry

E: -6.9751 eV per atom
M_tot: 0.0 μB/f.u.

a b c (Å): 3.691 3.691 7.624
angles (deg): 90.00 90.00 90.00
Space group I-4m2 (No. 119)
One atom of each set of equivalent atoms:
Be  0.000  0.000  0.000 [2 per cell]
Ru  0.000  0.500  0.250 [2 per cell]
Rh  0.000  0.000  0.500 [2 per cell]
Rh  0.000  0.500  0.750 [2 per cell]

***

Entry 10:
Compound: BeRuRh2
Source: the Alexandria database
Functional: PBE-GGA
Structure: optimized geometry

E: -6.8273 eV per atom
M_tot: 0.0 μB/f.u.

a b c (Å): 2.755 4.574 8.296
angles (deg): 90.00 90.00 90.00
Space group Cmm2 (No. 35)
One atom of each set of equivalent atoms:
Be  0.000  0.000  0.000 [2 per cell]
Ru  0.000  0.500  0.227 [2 per cell]
Rh  0.000  0.000  0.501 [2 per cell]
Rh  0.000  0.500  0.785 [2 per cell]

***

Entry 11:
Compound: BeRuRh2
Source: the Alexandria database
Functional: PBE-GGA
Structure: optimized geometry

E: -7.0562 eV per atom
M_tot: 0.0 μB/f.u.

a b c (Å): 2.824 4.276 8.328
angles (deg): 90.00 90.00 90.00
Space group Immm (No. 71)
One atom of each set of equivalent atoms:
Be  0.000  0.000  0.000 [2 per cell]
Ru  0.000  0.000  0.500 [2 per cell]
Rh  0.000  0.500  0.281 [4 per cell]

***

Entry 12:
Compound: Be17RuRh
Source: the Alexandria database
Functional: PBE-GGA
Structure: optimized geometry

E: -4.4283 eV per atom
M_tot: 0.0 μB/f.u.

a b c (Å): 7.2131 7.2131 10.5553
angles (deg): 90.00 90.00 120.00
Space group R3m (No. 160, hexagonal axes)
One atom of each set of equivalent atoms:
Be  0.0000  0.0000  0.0501 [3 per cell]
Be  0.0000  0.0000  0.2559 [3 per cell]
Be  0.0002  0.3029  0.1533 [18 per cell]
Be  0.0063  0.5031  0.3053 [9 per cell]
Be  0.1686  0.3372  0.9881 [9 per cell]
Be  0.1697  0.3394  0.3333 [9 per cell]
Ru  0.0000  0.0000  0.4910 [3 per cell]
Rh  0.0000  0.0000  0.8125 [3 per cell]

***

| no. | N(E_F) (states/eV/f.u.) | calculated volume (Å³ per cell) | ΔH_f (0 K) (kJ/mol of formula units) |
| --- | --- | --- | --- |
| 1 | 3.69 | 104.2 | 22.9 |
| 2 | 2.61 | 144.4 | -77.3 |
| 3 | 4.35 | 51.5 | -32.5 |
| 4 | 5.60 | 226.1 | 151.4 |
| 5 | 4.38 | 53.1 | 26.7 |
| 6 | 2.92 | 210.1 | 45.8 |
| 7 | 3.12 | 37.3 | -10.7 |
| 8 | 8.25 | 68.0 | 194.2 |
| 9 | 4.64 | 103.8 | -18.8 |
| 10 | 4.36 | 104.5 | 38.2 |
| 11 | 4.13 | 100.6 | -50.2 |
| 12 | 0.75 | 475.6 | -401.9 |